Below is an optimized crystal structure of Ac2Sn2Bi, with properties calculated at the PBE-GGA level.

Cell: 4.6259 4.5811 8.4868 Å, 105.66 90.00 90.00°
Closest atoms and distances in Å follow each position.
Fractional coordinates of all 5 atoms:
Bi (0.0000, 0.0000, 0.0000)  2 Sn 3.18
Ac (0.5000, 0.6292, 0.2585)  6 Sn 3.42-3.70
Sn (0.0000, 0.1943, 0.3887)  2 Sn 2.93, 1 Bi 3.18
Sn (0.0000, 0.8057, 0.6113)  2 Sn 2.93, 1 Bi 3.18
Ac (0.5000, 0.3708, 0.7415)  6 Sn 3.42-3.70

- M_tot: 0.0000 μB per atom
- Final energy: -4.679 eV/atom
- Space group: Cmmm, No. 65
- Density: 8.634 g cm⁻³
- Formation energy: -0.659 eV/atom